*a*
A relaxed structure of NdHg7, computed with PBE.

Cell: 4.641 4.641 19.158 Å, 90.00 90.00 90.00°
Space group I4/mmm (No. 139)
Asymmetric unit:
Nd (0.000, 0.000, 0.000) (multiplicity 2)
Hg (0.000, 0.000, 0.253) (multiplicity 4)
Hg (0.000, 0.000, 0.500) (multiplicity 2)
Hg (0.000, 0.500, 0.125) (multiplicity 8)

Fermi-level density of states ... 7.339 states/eV per cell
Total moment ... 0.00 Bohr magnetons per cell
Calculated density ... 12.46 g/cm³
Volume ... 25.8 A^3/atom

---

*b*
A relaxed structure of NdHg7, computed with PBE.

Cell: 9.493 9.493 9.493 Å, 90.00 90.00 90.00°
Space group Fm-3m (No. 225)
Asymmetric unit:
Nd (0.000, 0.000, 0.000) (multiplicity 4)
Hg (0.000, 0.000, 0.500) (multiplicity 4)
Hg (0.000, 0.250, 0.250) (multiplicity 24)

Fermi-level density of states ... 31.277 states/eV per cell
Total moment ... 1.00 Bohr magnetons per cell
Calculated density ... 12.02 g/cm³
Volume ... 26.7 A^3/atom

---

Question: which arrangement is favored energetically? Ranking from most to least stable: *a*, *b*.